(1)
ThMgAl2Pt2 (PBE, optimized geometry); crystal system = trigonal; total magnetic moment = 0.0000 μB per atom; VASP energy = -5.720 eV per atom
1.0
4.426 0.000 0.000
-2.213 3.833 0.000
0.000 0.000 6.805
Th Mg Al Pt
1 1 2 2
Cartesian
0.000 0.000 0.000
0.000 0.000 3.403
0.000 2.555 4.623
2.213 1.278 2.182
0.000 2.555 1.881
2.213 1.278 4.924

---

(2)
TcPd2I (PBE, optimized geometry); crystal system = cubic; total magnetic moment = 0.8742 μB per atom; energy relative to the elements, uncorrected = 2.98 eV/f.u.; energy above the lowest structure with this stoichiometry = 0 kJ/mol of formula units; VASP energy = -4.830 eV per atom
1.0
0.000 3.346 3.346
3.346 0.000 3.346
3.346 3.346 0.000
Tc Pd I
1 2 1
Cartesian
0.000 0.000 0.000
1.673 1.673 1.673
5.019 5.019 5.019
3.346 3.346 3.346

---

(3)
PaGa2SO8 (PBE, optimized geometry); crystal system = monoclinic; total magnetic moment = 0.0000 μB per atom; energy relative to the elements, uncorrected = -19.89 eV/f.u.; VASP energy = -6.602 eV per atom
1.0
5.268 -2.612 0.000
5.268 2.612 0.000
-1.374 0.000 5.079
Pa Ga S O
1 2 1 8
Cartesian
0.000 0.000 0.000
1.371 0.000 3.228
7.791 0.000 1.851
4.581 0.000 2.540
3.863 1.306 1.430
1.451 0.000 1.374
5.300 1.306 3.649
3.199 0.000 3.682
5.964 0.000 1.398
3.863 -1.306 1.430
7.712 0.000 3.705
5.300 -1.306 3.649

---

(4)
Tm5AlZn4 (PBE, optimized geometry); crystal system = tetragonal; total magnetic moment = 0.0000 μB per atom; VASP energy = -3.483 eV per atom
1.0
3.522 0.000 0.000
0.000 3.522 0.000
0.000 0.000 17.694
Tm Al Zn
5 1 4
Cartesian
0.000 0.000 0.000
0.000 0.000 3.517
0.000 0.000 7.013
0.000 0.000 10.681
0.000 0.000 14.177
1.761 1.761 8.847
1.761 1.761 1.765
1.761 1.761 5.265
1.761 1.761 12.429
1.761 1.761 15.928

---

(5)
Sn2SbTe2 (PBE, optimized geometry); crystal system = tetragonal; total magnetic moment = 0.0000 μB per atom; energy relative to the elements, uncorrected = 0.93 eV/f.u.; energy above the lowest structure with this stoichiometry = 60 kJ/mol of formula units; VASP energy = -3.497 eV per atom
1.0
-2.083 2.083 8.832
2.083 -2.083 8.832
2.083 2.083 -8.832
Sn Sb Te
2 1 2
Cartesian
2.083 0.000 4.416
0.000 2.083 4.416
0.000 0.000 0.000
0.000 0.000 7.134
0.000 0.000 10.529

---

(6)
Tb6SmEr3Tm2 (PBE, optimized geometry); crystal system = monoclinic; total magnetic moment = 0.0000 μB per atom; VASP energy = -4.577 eV per atom
1.0
3.066 -5.305 0.000
3.066 5.305 0.000
-2.033 0.000 11.543
Tb Sm Er Tm
6 1 3 2
Cartesian
1.019 1.772 2.874
0.009 0.000 8.667
1.019 -1.772 2.874
3.080 1.772 8.668
4.091 0.000 2.876
3.080 -1.772 8.668
2.050 0.000 5.771
0.000 0.000 0.000
3.066 1.772 0.000
3.066 -1.772 0.000
2.050 3.537 5.771
2.050 -3.537 5.771

---

- Which value of total magnetic moment does entry 4 give?
  0.0000 μB per atom